# 1
DFT (PBE) results for a relaxed structure of NdSmIn2Te4.

Lattice parameters (Å, degrees): 7.7962 4.5017 8.5167 90.00 107.76 90.00
Space group P2/m (No. 10)
Symmetry-distinct sites (fractional):
Nd  0.0000  0.0000  0.0000 [1 per cell]
Sm  0.5000  0.5000  0.0000 [1 per cell]
In  0.0000  0.5000  0.5000 [1 per cell]
In  0.5000  0.0000  0.5000 [1 per cell]
Te  0.2449  0.5000  0.2266 [2 per cell]
Te  0.2610  0.0000  0.7750 [2 per cell]

Mass density: 6.04 g cm⁻³
V: 284.7 Å³/f.u.
Magnetization: 0.00 Bohr magnetons per cell
Calculated total energy: -4.43 eV per atom
Energy relative to the elements, uncorrected: -0.990 eV/atom

# 2
DFT (PBE) results for a relaxed structure of ZnFe2.

Lattice parameters (Å, degrees): 6.7217 6.7217 6.7217 90.00 90.00 90.00
Space group Fd-3m (No. 227, origin choice 2)
Symmetry-distinct sites (fractional):
Zn  0.1250  0.1250  0.1250 [8 per cell]
Fe  0.0000  0.0000  0.5000 [16 per cell]

Mass density: 7.75 g cm⁻³
V: 38.0 Å³/f.u.
DFT formation energy: 190 meV/atom
Magnetization: 30.61 Bohr magnetons per cell
Calculated total energy: -5.88 eV per atom

# 3
DFT (PBE) results for a relaxed structure of CePm3Co3.

Lattice parameters (Å, degrees): 12.6999 3.7637 14.5929 90.00 114.59 90.00
Space group C2/m (No. 12)
Symmetry-distinct sites (fractional):
Ce  0.1608  0.0000  0.3895 [4 per cell]
Pm  0.0413  0.5000  0.8054 [4 per cell]
Pm  0.1250  0.0000  0.6313 [4 per cell]
Pm  0.1673  0.5000  0.0810 [4 per cell]
Co  0.0165  0.0000  0.9294 [4 per cell]
Co  0.0715  0.5000  0.4563 [4 per cell]
Co  0.1647  0.0000  0.2414 [4 per cell]

Mass density: 7.87 g cm⁻³
V: 158.6 Å³/f.u.
DFT formation energy: -129 meV/atom
Magnetization: 0.00 Bohr magnetons per cell
Calculated total energy: -6.06 eV per atom

# 4
DFT (PBE) results for a relaxed structure of CeSmZnFe.

Lattice parameters (Å, degrees): 7.0623 7.0623 7.0623 90.00 90.00 90.00
Space group F-43m (No. 216)
Symmetry-distinct sites (fractional):
Ce  0.0000  0.0000  0.0000 [4 per cell]
Sm  0.0000  0.0000  0.5000 [4 per cell]
Zn  0.2500  0.2500  0.7500 [4 per cell]
Fe  0.2500  0.2500  0.2500 [4 per cell]

Mass density: 7.76 g cm⁻³
V: 88.1 Å³/f.u.
DFT formation energy: 6 meV/atom
Magnetization: 2.61 Bohr magnetons per cell
Calculated total energy: -5.09 eV per atom

# 5
DFT (PBE) results for a relaxed structure of Sm6Ho2Tm3.

Lattice parameters (Å, degrees): 4.7372 4.7372 33.3715 90.00 90.00 90.00
Space group I4/mmm (No. 139)
Symmetry-distinct sites (fractional):
Sm  0.0000  0.0000  0.1994 [4 per cell]
Sm  0.0000  0.5000  0.1206 [8 per cell]
Ho  0.0000  0.0000  0.0454 [4 per cell]
Tm  0.0000  0.0000  0.3021 [4 per cell]
Tm  0.0000  0.0000  0.5000 [2 per cell]

Mass density: 7.71 g cm⁻³
V: 374.4 Å³/f.u.
DFT formation energy: 303 meV/atom
Magnetization: 0.00 Bohr magnetons per cell
Calculated total energy: -4.32 eV per atom

# 6
DFT (PBE) results for a relaxed structure of Ce2ZnSb.

Lattice parameters (Å, degrees): 4.0179 4.0179 31.1037 90.00 90.00 120.00
Space group R-3m (No. 166, hexagonal axes)
Symmetry-distinct sites (fractional):
Ce  0.0000  0.0000  0.1016 [6 per cell]
Zn  0.0000  0.0000  0.0000 [3 per cell]
Sb  0.0000  0.0000  0.5000 [3 per cell]

Mass density: 5.35 g cm⁻³
V: 145.0 Å³/f.u.
Magnetization: 9.86 Bohr magnetons per cell
Polymorph energy (0 for the lowest one): 593 meV per atom
Calculated total energy: -4.26 eV per atom
Energy relative to the elements, uncorrected: 0.058 eV/atom

# 7
DFT (PBE) results for a relaxed structure of CaTiC2.

Lattice parameters (Å, degrees): 4.8760 4.8760 11.6658 90.00 90.00 90.00
Space group I-42d (No. 122)
Symmetry-distinct sites (fractional):
Ca  0.0000  0.0000  0.0000 [4 per cell]
Ti  0.0000  0.0000  0.5000 [4 per cell]
C  0.1339  0.2500  0.6250 [8 per cell]

Mass density: 2.68 g cm⁻³
V: 69.3 Å³/f.u.
DFT formation energy: 524 meV/atom
Magnetization: 0.00 Bohr magnetons per cell
Polymorph energy (0 for the lowest one): 0 meV per atom
Calculated total energy: -6.56 eV per atom

# 8
DFT (PBE) results for a relaxed structure of MgBeV2Zn.

Lattice parameters (Å, degrees): 4.8042 4.8042 4.5506 90.00 90.00 90.00
Space group P4/mmm (No. 123)
Symmetry-distinct sites (fractional):
Mg  0.0000  0.0000  0.0000 [1 per cell]
Be  0.5000  0.5000  0.5000 [1 per cell]
V  0.0000  0.5000  0.0000 [2 per cell]
Zn  0.0000  0.0000  0.5000 [1 per cell]

Mass density: 3.17 g cm⁻³
V: 105.0 Å³/f.u.
DFT formation energy: 1788 meV/atom
Magnetization: 6.13 Bohr magnetons per cell
Calculated total energy: -3.18 eV per atom